Crystalline K3Pu2MnO9 at its relaxed geometry, computed with PBE with a Hubbard U.

Crystal system: trigonal
Energy, eV/atom: -7.82

Geometry as POSCAR:
```
K3Pu2MnO9
1.0
5.9255 0.0000 0.0000
-2.9627 5.1316 0.0000
0.0000 0.0000 7.2841
K Pu Mn O
3 2 1 9
Cartesian
0.0000 0.0000 0.0000
0.0000 3.4211 4.7940
2.9627 1.7105 2.4901
0.0000 3.4211 1.2607
2.9627 1.7105 6.0234
0.0000 0.0000 3.6420
-1.4814 2.5658 0.0000
0.0000 1.7683 2.3840
-1.4313 4.2474 2.3840
1.5314 0.8842 4.9000
2.9627 0.0000 0.0000
1.4814 2.5658 0.0000
1.4313 4.2474 2.3840
4.3941 0.8842 4.9000
2.9627 3.3633 4.9000
```